Entry from Alexandria via LeMat-Bulk: a relaxed structure of CeErBr6 (PBE).

Summary:
Polymorph energy (0 for the lowest one) = 0.014 eV per atom
E_tot = -4.3575 eV per atom
Formation energy (no corrections) = -1.791 eV/atom
M_tot = 1.000 μB/f.u.

Lattice parameters (Å, degrees): 7.1603 7.1603 19.6371 90.00 90.00 120.00
Space group R-3 (No. 148, hexagonal axes)
Symmetry-distinct sites (fractional):
1 Ce 0.0000 0.0000 0.0000 (multiplicity 3)
2 Er 0.0000 0.0000 0.5000 (multiplicity 3)
3 Br 0.0057 0.6830 0.5812 (multiplicity 18)

Entry from Alexandria via LeMat-Bulk: a relaxed structure of CeErBr6 (PBE).

Summary:
Polymorph energy (0 for the lowest one) = 0.000 eV per atom
E_tot = -4.3718 eV per atom
Formation energy (no corrections) = -1.805 eV/atom
M_tot = 1.000 μB/f.u.

Lattice parameters (Å, degrees): 7.099 13.180 7.096 90.00 106.68 90.00
Space group C2/m (No. 12)
Symmetry-distinct sites (fractional):
1 Ce 0.000 0.000 0.000 (multiplicity 2)
2 Er 0.000 0.500 0.500 (multiplicity 2)
3 Br 0.237 0.354 0.740 (multiplicity 8)
4 Br 0.247 0.500 0.258 (multiplicity 4)

Entry from Alexandria via LeMat-Bulk: a relaxed structure of CeErBr2 (PBE).

Summary:
E_tot = -4.4631 eV per atom
Formation energy (no corrections) = -1.002 eV/atom
M_tot = 1.166 μB/f.u.

Lattice parameters (Å, degrees): 3.7122 3.7122 30.1101 90.00 90.00 120.00
Space group R-3m (No. 166, hexagonal axes)
Symmetry-distinct sites (fractional):
1 Ce 0.0000 0.0000 0.0000 (multiplicity 3)
2 Er 0.0000 0.0000 0.5000 (multiplicity 3)
3 Br 0.0000 0.0000 0.4059 (multiplicity 6)

Entry from Alexandria via LeMat-Bulk: a relaxed structure of Ce2ErBr2N2 (PBE).

Summary:
E_tot = -6.6013 eV per atom
Formation energy (no corrections) = -1.397 eV/atom
M_tot = 2.957 μB/f.u.

Lattice parameters (Å, degrees): 4.466 4.466 15.976 90.00 90.00 90.00
Space group I4/mmm (No. 139)
Symmetry-distinct sites (fractional):
1 Ce 0.000 0.000 0.091 (multiplicity 4)
2 Er 0.000 0.000 0.500 (multiplicity 2)
3 Br 0.000 0.000 0.318 (multiplicity 4)
4 N 0.000 0.500 0.000 (multiplicity 4)

Which formula does entry 3 have? CeErBr2